DFT (GGA-PBE) results for a geometry-optimized Li2LaPtN structure.

Structure (POSCAR):
```
Li2LaPtN
1.0
4.204 0.000 0.000
0.000 4.204 0.000
0.000 0.000 4.899
Li La Pt N
2 1 1 1
Direct
0.000 0.500 0.000
0.500 0.000 0.000
0.000 0.000 0.500
0.500 0.500 0.500
0.000 0.000 0.000
```

Properties
Uncorrected energy ... -26.51 eV for the cell shown
N(E_F) ... 0.24 states/eV/atom
Calculated density ... 6.94 g cm⁻³